No. 1
Below is a relaxed structure of GaW, with properties calculated at the PBE level.

The density of states at the Fermi level is 4.31 states/eV per cell. For the calculated total energy, the calculation gives -7.715 eV per atom. The energy relative to the lowest polymorph listed for this composition is 126 meV/atom. The calculation puts the formation energy from the elements at 275 meV/atom.

The space group is P6_3/mmc (No. 194) and the conventional cell measures 8.1674, 8.1674 and 4.4075 Å, with angles of 90.00, 90.00 and 120.00 degrees. The inequivalent atoms are Ga at (0.2126, 0.4251, 0.2500) and W at (0.1099, 0.5549, 0.7500).



No. 2
Below is a relaxed structure of Zr2ScSb, with properties calculated at the PBE level.

The density of states at the Fermi level is 9.45 states/eV per cell. For the calculated total energy, the calculation gives -7.281 eV per atom. The calculation puts the raw formation energy at -152 kJ/mol of formula units.

The space group is I-4m2 (No. 119) and the conventional cell measures 4.3393, 4.3393 and 9.5418 Å, with angles of 90.00, 90.00 and 90.00 degrees. The inequivalent atoms are Zr at (0.0000, 0.0000, 0.0000), Zr at (0.0000, 0.5000, 0.2500), Sc at (0.0000, 0.5000, 0.7500) and Sb at (0.0000, 0.0000, 0.5000).



No. 3
Below is a relaxed structure of Ce3IrAu2, with properties calculated at the PBE level.

The density of states at the Fermi level is 32.02 states/eV per cell. For the calculated total energy, the calculation gives -5.947 eV per atom. The energy relative to the lowest polymorph listed for this composition is 222 meV/atom. The calculation puts the formation energy from the elements at -411 meV/atom.

The space group is Immm (No. 71) and the conventional cell measures 3.1904, 5.4384 and 16.9647 Å, with angles of 90.00, 90.00 and 90.00 degrees. The inequivalent atoms are Ce at (0.0000, 0.0000, 0.0000), Ce at (0.0000, 0.5000, 0.1613), Ir at (0.0000, 0.5000, 0.0000) and Au at (0.0000, 0.5000, 0.3386).



No. 4
Below is a relaxed structure of K3GeRh, with properties calculated at the PBE level.

The density of states at the Fermi level is 2.17 states/eV per cell. For the calculated total energy, the calculation gives -2.245 eV per atom. The energy relative to the lowest polymorph listed for this composition is 0 meV/atom. The calculation puts the formation energy from the elements at 807 meV/atom.

The space group is Pm-3m (No. 221) and the conventional cell measures 5.8555, 5.8555 and 5.8555 Å, with angles of 90.00, 90.00 and 90.00 degrees. The inequivalent atoms are K at (0.0000, 0.0000, 0.5000), Ge at (0.5000, 0.5000, 0.5000) and Rh at (0.0000, 0.0000, 0.0000).



No. 5
Below is a relaxed structure of NaLaNb2H, with properties calculated at the PBE level.

The density of states at the Fermi level is 5.47 states/eV per cell. For the calculated total energy, the calculation gives -3.698 eV per atom.

The space group is P4/mmm (No. 123) and the conventional cell measures 4.7989, 4.7989 and 5.7640 Å, with angles of 90.00, 90.00 and 90.00 degrees. The inequivalent atoms are Na at (0.0000, 0.0000, 0.0000), La at (0.0000, 0.0000, 0.5000), Nb at (0.0000, 0.5000, 0.0000) and H at (0.5000, 0.5000, 0.5000).



No. 6
Below is a relaxed structure of Tb6Pm3Pu, with properties calculated at the PBE level.

The density of states at the Fermi level is 57.29 states/eV per cell. For the calculated total energy, the calculation gives -5.381 eV per atom. The calculation puts the formation energy from the elements at 255 meV/atom.

The space group is R3 (No. 146, hexagonal axes) and the conventional cell measures 9.8618, 9.8618 and 11.6520 Å, with angles of 90.00, 90.00 and 120.00 degrees. The inequivalent atoms are Tb at (0.0004, 0.3200, 0.0000), Tb at (0.0008, 0.6699, 0.5005), Pm at (0.0000, 0.0000, 0.2396), Pm at (0.0000, 0.0000, 0.4977), Pm at (0.0000, 0.0000, 0.7546) and Pu at (0.0000, 0.0000, 0.9974).



No. 7
Below is a relaxed structure of Cr2CdTc, with properties calculated at the PBE level.

The density of states at the Fermi level is 9.74 states/eV per cell. For the calculated total energy, the calculation gives -7.101 eV per atom. The calculation puts the formation energy from the elements at 531 meV/atom.

The space group is Immm (No. 71) and the conventional cell measures 3.1208, 4.4512 and 8.4348 Å, with angles of 90.00, 90.00 and 90.00 degrees. The inequivalent atoms are Cr at (0.0000, 0.0000, 0.2286), Cd at (0.0000, 0.5000, 0.0000) and Tc at (0.0000, 0.5000, 0.5000).



No. 8
Below is a relaxed structure of Sr2HgAs, with properties calculated at the PBE level.

The density of states at the Fermi level is 6.70 states/eV per cell. For the calculated total energy, the calculation gives -2.881 eV per atom. The energy relative to the lowest polymorph listed for this composition is 25 meV/atom. The calculation puts the formation energy from the elements at -802 meV/atom.

The space group is R-3m (No. 166, hexagonal axes) and the conventional cell measures 4.6378, 4.6378 and 22.8824 Å, with angles of 90.00, 90.00 and 120.00 degrees. The inequivalent atoms are Sr at (0.0000, 0.0000, 0.2355), Hg at (0.0000, 0.0000, 0.0000) and As at (0.0000, 0.0000, 0.5000).